Ag2IrPt | PBE-GGA | optimized geometry

POSCAR file:
```
Ag2IrPt
1.0
-0.4058 -4.6523 5.7750
5.6156 -3.9702 -2.8038
4.3240 -2.8158 2.8111
Ag Ir Pt
4 2 2
Direct
0.8750 0.8724 0.7500
0.6224 0.1250 0.2500
0.1276 0.6250 0.2500
0.3750 0.3776 0.7500
0.5000 0.5000 0.0000
0.2500 0.7500 0.5000
0.7500 0.2500 0.5000
0.0000 0.0000 0.0000
```

Calculated values
Theoretical density = 13774 kg/m3
Crystal system = tetragonal
Formation energy = 794 meV/atom

***

AgIrPt2 | PBE-GGA | optimized geometry

POSCAR file:
```
AgIrPt2
1.0
-0.6483 3.2767 2.9976
-0.2219 4.2719 -1.3579
-3.9148 2.1915 0.1175
Pt Ir Ag
2 1 1
Direct
0.2500 0.2500 0.2500
0.7500 0.7500 0.7500
0.5000 0.5000 0.5000
0.0000 0.0000 0.0000
```

Calculated values
Theoretical density = 17931 kg/m3
Crystal system = cubic
Formation energy = 340 meV/atom